This record from Alexandria describes crystalline In2CuPtC at its relaxed geometry. The functional is PBE-GGA.

```
In2CuPtC
1.0
5.4234 0.0000 0.0000
0.0000 3.7845 0.0000
0.0000 0.0000 5.4234
C Cu Pt In
1 1 1 2
direct
0.0000 0.5000 0.0000
0.5000 0.5000 0.5000
0.0000 0.0000 0.0000
0.0000 0.0000 0.5000
0.5000 0.0000 0.0000
```

**Fermi-level density of states**: 0.595 states/eV/atom
**SG**: P4/mmm, No. 123
**Energy of formation**: 0.7073 eV per atom
**Magnetic moment**: 0.0 μB per cell